DFT (PBE) results for a geometry-optimized TaAs2SeO structure.

Structure (CIF):
```
data_TaAs2SeO
_chemical_formula_sum 'Ta1 As2 Se1 O1'
_space_group_name_H-M_alt 'P 1'
_space_group_IT_number 1
_space_group_name_Hall 'P 1'
_cell_length_a 4.868
_cell_length_b 4.868
_cell_length_c 3.904
_cell_angle_alpha 90.00
_cell_angle_beta 90.00
_cell_angle_gamma 90.00
loop_
_atom_site_label
_atom_site_type_symbol
_atom_site_fract_x
_atom_site_fract_y
_atom_site_fract_z
Ta1 Ta 0.000 0.000 0.000
As1 As 0.000 0.500 0.500
As2 As 0.500 0.000 0.500
Se1 Se 0.500 0.500 0.000
O1 O 0.000 0.000 0.500
```

Values from the calculation:
**Formation energy (no corrections)**: 0.179 eV/atom
**Total moment**: 0.0 μB per formula unit
**Relative energy among the computed polymorphs**: 0 meV per atom
**Total DFT energy (no corrections)**: -5.74 eV/atom